## A
Material: Pr2SnI
Method: DFT, PBE-GGA
State: optimized geometry

Output
DOS(E_F) = 0.52 states/eV per atom

Structure (extended XYZ):
```
8
Lattice="-0.514 4.382 -1.297 -5.656 0.912 5.324 5.447 2.238 5.403" Properties=species:S:1:pos:R:3 pbc="T T T"
Pr -1.765 5.941 8.543
Pr 1.011 5.493 5.930
Pr 1.042 1.591 0.887
Pr -1.734 2.039 3.501
Sn -1.302 3.719 0.852
Sn 0.579 3.813 8.578
I -2.333 4.913 5.296
I 1.610 2.619 4.134
```



## B
Material: Pr2SnI
Method: DFT, PBE-GGA
State: optimized geometry

Output
DOS(E_F) = 0.52 states/eV per atom

Structure (extended XYZ):
```
4
Lattice="4.611 0.000 0.000 2.305 3.993 0.000 2.305 1.331 7.587" Properties=species:S:1:pos:R:3 pbc="T T T"
Pr 2.305 1.331 2.140
Pr 6.916 3.993 5.447
Sn 4.611 2.662 3.794
I 0.000 0.000 0.000
```



Least stable = A



## A
Material: Tb2PrI
Method: DFT, PBE-GGA
State: optimized geometry

Output
DOS(E_F) = 1.94 states/eV per atom

Structure (extended XYZ):
```
4
Lattice="3.623 0.000 0.000 1.812 3.138 0.000 1.812 1.046 11.838" Properties=species:S:1:pos:R:3 pbc="T T T"
Tb 1.812 1.046 8.413
Tb 5.435 3.138 3.425
Pr 0.000 0.000 0.000
I 3.623 2.092 5.919
```



## B
Material: Tb2PrI
Method: DFT, PBE-GGA
State: optimized geometry

Output
DOS(E_F) = 1.47 states/eV per atom

Structure (extended XYZ):
```
4
Lattice="3.791 0.000 0.000 1.895 3.283 0.000 1.896 1.095 10.644" Properties=species:S:1:pos:R:3 pbc="T T T"
Tb 1.897 1.095 8.186
Tb 1.895 1.094 2.452
Pr 3.792 2.189 5.328
I 3.791 2.189 0.001
```



Least stable = A



## A
Material: TbPr2I
Method: DFT, PBE-GGA
State: optimized geometry

Output
DOS(E_F) = 1.47 states/eV per atom

Structure (extended XYZ):
```
4
Lattice="3.854 0.000 0.000 1.927 3.337 0.000 1.927 1.112 10.821" Properties=species:S:1:pos:R:3 pbc="T T T"
I 3.854 2.225 0.003
Pr 1.927 1.112 8.247
Pr 1.927 1.112 2.566
Tb 3.854 2.225 5.415
```



## B
Material: TbPr2I
Method: DFT, PBE-GGA
State: optimized geometry

Output
DOS(E_F) = 0.91 states/eV per atom

Structure (extended XYZ):
```
4
Lattice="-0.488 -2.261 2.929 2.442 -2.416 -1.458 7.298 4.529 4.713" Properties=species:S:1:pos:R:3 pbc="T T T"
I 4.625 -0.074 3.092
Tb 0.977 -2.339 0.735
Pr 1.882 1.168 1.216
Pr 5.415 3.361 3.497
```



Least stable = B



## A
Material: TbPrI
Method: DFT, PBE-GGA
State: optimized geometry

Output
DOS(E_F) = 1.17 states/eV per atom

Structure (extended XYZ):
```
3
Lattice="-1.533 2.800 -2.237 1.821 -3.029 -1.643 -6.741 -3.906 -0.270" Properties=species:S:1:pos:R:3 pbc="T T T"
I -2.604 -0.412 -2.127
Pr -3.752 -3.668 -2.020
Tb -0.096 -0.056 -0.004
```



## B
Material: TbPrI
Method: DFT, PBE-GGA
State: optimized geometry

Output
DOS(E_F) = 0.82 states/eV per atom

Structure (extended XYZ):
```
12
Lattice="6.123 0.000 0.000 0.000 7.809 -0.555 0.000 -1.345 8.668" Properties=species:S:1:pos:R:3 pbc="T T T"
Tb 1.531 5.128 3.143
Tb 4.592 1.336 4.970
Tb 4.592 5.240 4.692
Tb 1.531 1.224 3.421
I 1.531 2.988 0.641
I 4.592 -0.429 7.749
I 1.531 6.893 0.364
I 4.592 3.476 7.472
Pr 4.592 6.981 1.590
Pr 4.592 3.077 1.867
Pr 1.531 3.387 6.245
Pr 1.531 -0.517 6.522
```



Least stable = A



## A
Material: PrTeI
Method: DFT, PBE-GGA
State: optimized geometry

Structure (extended XYZ):
```
3
Lattice="-0.629 5.225 1.468 -4.692 2.590 -1.063 -3.388 1.301 4.084" Properties=species:S:1:pos:R:3 pbc="T T T"
I -4.354 4.558 2.245
Te 0.000 0.000 0.000
Pr -2.177 2.279 1.122
```



## B
Material: PrTeI
Method: DFT, PBE-GGA
State: optimized geometry

Output
DOS(E_F) = 0.00 states/eV per atom

Structure (extended XYZ):
```
6
Lattice="-3.723 0.569 1.942 0.760 -3.756 2.559 5.604 7.073 8.761" Properties=species:S:1:pos:R:3 pbc="T T T"
Te -1.166 -0.862 2.792
Te 2.135 -1.694 4.740
Pr 6.247 3.504 11.192
Pr 0.326 1.013 5.101
I 3.248 2.063 5.770
I 3.325 2.457 10.521
```



Least stable = A



## A
Material: PrTeI
Method: DFT, PBE-GGA
State: optimized geometry

Structure (extended XYZ):
```
6
Lattice="-4.152 0.691 -0.572 -1.173 -7.853 -0.973 1.944 5.838 8.714" Properties=species:S:1:pos:R:3 pbc="T T T"
Te -0.432 0.960 4.296
Te -2.949 -2.283 2.872
I -3.083 -5.837 -0.443
I -0.297 4.513 7.612
Pr -0.401 -0.909 1.815
Pr -2.979 -0.415 5.354
```



## B
Material: PrTeI
Method: DFT, PBE-GGA
State: optimized geometry

Output
DOS(E_F) = 0.00 states/eV per atom

Structure (extended XYZ):
```
6
Lattice="-0.328 -4.441 1.022 5.578 -1.059 -2.809 4.551 1.683 8.403" Properties=species:S:1:pos:R:3 pbc="T T T"
Te 5.240 -2.075 7.616
Te 4.562 -1.742 -0.999
I 2.774 -3.022 3.077
I 7.027 -0.795 3.539
Pr 7.893 -2.652 5.960
Pr 1.908 -1.165 0.657
```



## C
Material: PrTeI
Method: DFT, PBE-GGA
State: optimized geometry

Output
DOS(E_F) = 0.49 states/eV per atom

Structure (extended XYZ):
```
3
Lattice="-1.443 -3.688 -0.281 1.442 -0.839 3.602 -6.298 4.496 1.380" Properties=species:S:1:pos:R:3 pbc="T T T"
Te -3.634 1.288 1.754
Pr -2.246 -1.467 2.744
I -0.420 0.149 0.203
```



Least stable = C



## A
Material: Pr5Te4I
Method: DFT, PBE-GGA
State: optimized geometry

Output
DOS(E_F) = 0.70 states/eV per atom

Structure (extended XYZ):
```
10
Lattice="4.504 0.000 0.552 2.218 3.920 0.552 -0.015 -0.009 18.768" Properties=species:S:1:pos:R:3 pbc="T T T"
I 3.353 1.955 9.936
Te 6.051 3.529 6.572
Te 2.015 1.175 2.205
Te 4.691 2.735 17.668
Te 0.655 0.382 13.300
Pr 5.345 3.117 12.333
Pr 2.678 1.562 15.445
Pr 0.000 0.000 0.000
Pr 1.361 0.794 7.539
Pr 4.029 2.349 4.427
```



## B
Material: Pr5Te4I
Method: DFT, PBE-GGA
State: optimized geometry

Output
DOS(E_F) = 0.73 states/eV per atom

Structure (extended XYZ):
```
10
Lattice="4.518 0.000 0.000 0.000 4.518 0.000 -2.259 -2.259 16.212" Properties=species:S:1:pos:R:3 pbc="T T T"
Pr 2.259 2.259 12.778
Pr 2.259 2.259 0.000
Pr 0.000 0.000 9.938
Pr 0.000 0.000 3.435
Pr 2.259 2.259 6.274
Te 2.259 2.259 9.583
Te 2.259 2.259 3.147
Te 0.000 0.000 13.066
Te 0.000 0.000 6.629
I 0.000 0.000 0.000
```



Least stable = B



## A
Material: Pr2ThI
Method: DFT, PBE-GGA
State: optimized geometry

Output
DOS(E_F) = 0.75 states/eV per atom

Structure (extended XYZ):
```
4
Lattice="-1.194 -1.827 -3.064 -2.050 -2.293 2.166 -7.579 6.119 -0.694" Properties=species:S:1:pos:R:3 pbc="T T T"
Th -1.622 -2.060 -0.449
Pr -1.875 1.514 -0.172
Pr -5.704 4.605 -0.523
I -5.411 0.999 -0.796
```



## B
Material: Pr2ThI
Method: DFT, PBE-GGA
State: optimized geometry

Output
DOS(E_F) = 1.26 states/eV per atom

Structure (extended XYZ):
```
4
Lattice="3.638 0.000 0.000 1.819 3.151 0.000 1.819 1.050 12.095" Properties=species:S:1:pos:R:3 pbc="T T T"
Pr 1.819 1.050 8.641
Pr 5.457 3.151 3.454
Th 0.000 0.000 0.000
I 3.638 2.100 6.048
```



Least stable = B